Entry from Alexandria: a geometry-optimized FeCo2GeBi structure (GGA-PBE).

Raw total energy = -4.47 eV/atom

a b c (Å): 4.741 4.741 5.400
angles (deg): 90.00 90.00 90.00
Space group P4/mmm (No. 123)
Unique sites:
Fe  0.000  0.000  0.000
Co  0.000  0.500  0.500
Ge  0.500  0.500  0.000
Bi  0.500  0.500  0.500

---

Entry from Alexandria: a geometry-optimized Er8GaSn2 structure (GGA-PBE).

Raw total energy = -4.68 eV/atom

a b c (Å): 19.149 4.991 6.643
angles (deg): 90.00 104.36 90.00
Space group C2/m (No. 12)
Unique sites:
Er  0.021  0.000  0.276
Er  0.091  0.500  0.969
Er  0.152  0.500  0.500
Er  0.217  0.000  0.821
Ga  0.000  0.500  0.500
Sn  0.181  0.000  0.259

---

Entry from Alexandria: a geometry-optimized Pm5TmTh structure (GGA-PBE).

Raw total energy = -4.89 eV/atom

a b c (Å): 6.174 17.725 8.870
angles (deg): 90.00 101.19 90.00
Space group C2/c (No. 15)
Unique sites:
Pm  0.000  0.147  0.250
Pm  0.109  0.350  0.966
Pm  0.194  0.184  0.644
Tm  0.000  0.488  0.250
Th  0.000  0.000  0.000